## P
# NaWSeN2, PBEsol geometry, DFT meta-GGA SCAN
# V ... 79.2 Å³ per cell
# Fermi-level density of states ... 2.830 states/eV/cell
# Calculated density ... 6.58 g cm⁻³
data_NaWSeN2
_cell_length_a 3.919
_cell_length_b 3.919
_cell_length_c 5.155
_cell_angle_alpha 90.00
_cell_angle_beta 90.00
_cell_angle_gamma 90.00
_space_group_name_H-M_alt 'P 1'
_space_group_IT_number 1
_space_group_name_Hall 'P 1'
loop_
_atom_site_label
_atom_site_type_symbol
_atom_site_fract_x
_atom_site_fract_y
_atom_site_fract_z
_atom_site_occupancy
Na1 Na 0.500 0.500 0.500 1
N1 N 0.500 0.000 0.000 1
W1 W 0.000 0.000 0.000 1
Se1 Se 0.000 0.000 0.500 1
N2 N 0.000 0.500 0.000 1

=====

## Q
# NaWSeN2, PBEsol geometry, DFT meta-GGA SCAN
# V ... 106.7 Å³ per cell
# Fermi-level density of states ... 2.067 states/eV/cell
# Calculated density ... 4.88 g cm⁻³
data_NaWSeN2
_cell_length_a 3.875
_cell_length_b 3.875
_cell_length_c 7.107
_cell_angle_alpha 90.00
_cell_angle_beta 90.00
_cell_angle_gamma 90.00
_space_group_name_H-M_alt 'P 1'
_space_group_IT_number 1
_space_group_name_Hall 'P 1'
loop_
_atom_site_label
_atom_site_type_symbol
_atom_site_fract_x
_atom_site_fract_y
_atom_site_fract_z
_atom_site_occupancy
W1 W 0.000 0.000 0.000 1
Se1 Se 0.500 0.500 0.500 1
N1 N 0.500 0.000 0.000 1
Na1 Na 0.000 0.000 0.500 1
N2 N 0.000 0.500 0.000 1

=====

Most stable of them? P.